(1)
The following is a DFT calculation (GGA-PBE) of a geometry-optimized Cs2Te3As structure.

The energy relative to the lowest polymorph listed for this composition comes out at 0.34 eV/f.u. The value obtained for the total DFT energy (no corrections) is -3.208 eV/atom.

The space group is Cmcm (No. 63) and the conventional cell measures 15.154, 10.693 and 6.661 Å, with angles of 90.00, 90.00 and 90.00 degrees. The distinct sites, in fractional coordinates, are Cs at (0.145, 0.167, 0.250), Te at (0.000, 0.154, 0.750), Te at (0.144, 0.500, 0.000) and As at (0.000, 0.402, 0.750).

(2)
The following is a DFT calculation (GGA-PBE) of a geometry-optimized Cs4Te4As structure.

The energy relative to the lowest polymorph listed for this composition comes out at 0.99 eV/f.u. The value obtained for the total DFT energy (no corrections) is -2.846 eV/atom.

The space group is I4/m (No. 87) and the conventional cell measures 11.290, 11.290 and 7.630 Å, with angles of 90.00, 90.00 and 90.00 degrees. The distinct sites, in fractional coordinates, are Cs at (0.077, 0.295, 0.000), Te at (0.081, 0.236, 0.500) and As at (0.000, 0.000, 0.500).

(3)
The following is a DFT calculation (GGA-PBE) of a geometry-optimized CsTe2As structure.

The value obtained for the total DFT energy (no corrections) is -3.334 eV/atom.

The space group is R3m (No. 160, hexagonal axes) and the conventional cell measures 4.3594, 4.3594 and 26.6002 Å, with angles of 90.00, 90.00 and 120.00 degrees. The distinct sites, in fractional coordinates, are Cs at (0.0000, 0.0000, 0.0000), Te at (0.0000, 0.0000, 0.2253), Te at (0.0000, 0.0000, 0.4416) and As at (0.0000, 0.0000, 0.8333).

| no. | uncorrected formation energy (meV/atom) | total moment (μB per formula unit) |
| --- | --- | --- |
| 1 | -578 | 0.0 |
| 2 | -554 | 0.9 |
| 3 | -387 | 0.0 |